# 1
This record from the Open Quantum Materials Database describes crystalline MoC8 at its relaxed geometry. The functional is PBE.

```
data_MoC8
_cell_length_a 5.013
_cell_length_b 5.013
_cell_length_c 3.703
_cell_angle_alpha 90.00
_cell_angle_beta 90.00
_cell_angle_gamma 120.00
_space_group_name_H-M_alt 'P 1'
_space_group_IT_number 1
loop_
_space_group_symop_operation_xyz
'x,y,z'
loop_
_atom_site_label
_atom_site_fract_x
_atom_site_fract_y
_atom_site_fract_z
Mo1 0.000 0.000 0.000
C1 0.169 0.337 0.500
C2 0.169 0.831 0.500
C3 0.333 0.667 0.500
C4 0.337 0.169 0.500
C5 0.663 0.831 0.500
C6 0.667 0.333 0.500
C7 0.831 0.169 0.500
C8 0.831 0.663 0.500
```

* space-group type: No. 191

=====

# 2
This record from the Open Quantum Materials Database describes crystalline Mo5C at its relaxed geometry. The functional is PBE.

```
data_Mo5C
_cell_length_a 4.924
_cell_length_b 4.924
_cell_length_c 4.853
_cell_angle_alpha 90.00
_cell_angle_beta 90.00
_cell_angle_gamma 120.00
_space_group_name_H-M_alt 'P 1'
_space_group_IT_number 1
loop_
_space_group_symop_operation_xyz
'x,y,z'
loop_
_atom_site_label
_atom_site_fract_x
_atom_site_fract_y
_atom_site_fract_z
Mo1 0.000 0.500 0.000
Mo2 0.333 0.667 0.500
Mo3 0.500 0.000 0.000
Mo4 0.500 0.500 0.000
Mo5 0.667 0.333 0.500
C1 0.000 0.000 0.500
```

* space-group type: No. 191

=====

# 3
This record from the Open Quantum Materials Database describes crystalline Mo3C at its relaxed geometry. The functional is PBE.

```
data_Mo3C
_cell_length_a 5.568
_cell_length_b 8.058
_cell_length_c 4.811
_cell_angle_alpha 90.00
_cell_angle_beta 90.00
_cell_angle_gamma 90.00
_space_group_name_H-M_alt 'P 1'
_space_group_IT_number 1
loop_
_space_group_symop_operation_xyz
'x,y,z'
loop_
_atom_site_label
_atom_site_fract_x
_atom_site_fract_y
_atom_site_fract_z
Mo1 0.102 0.073 0.208
Mo2 0.102 0.427 0.208
Mo3 0.199 0.250 0.684
Mo4 0.301 0.750 0.184
Mo5 0.398 0.573 0.708
Mo6 0.398 0.927 0.708
Mo7 0.602 0.073 0.292
Mo8 0.602 0.427 0.292
Mo9 0.699 0.250 0.816
Mo10 0.801 0.750 0.316
Mo11 0.898 0.573 0.792
Mo12 0.898 0.927 0.792
C1 0.123 0.750 0.577
C2 0.377 0.250 0.077
C3 0.623 0.750 0.923
C4 0.877 0.250 0.423
```

* space-group type: No. 62

=====

# 4
This record from the Open Quantum Materials Database describes crystalline Ni2Mo4CN at its relaxed geometry. The functional is PBE.

```
data_Ni2Mo4CN
_cell_length_a 2.930
_cell_length_b 2.930
_cell_length_c 13.381
_cell_angle_alpha 90.00
_cell_angle_beta 90.00
_cell_angle_gamma 120.00
_space_group_name_H-M_alt 'P 1'
_space_group_IT_number 1
loop_
_space_group_symop_operation_xyz
'x,y,z'
loop_
_atom_site_label
_atom_site_fract_x
_atom_site_fract_y
_atom_site_fract_z
Ni1 0.333 0.667 0.255
Ni2 0.667 0.333 0.745
Mo1 0.333 0.667 0.591
Mo2 0.333 0.667 0.901
Mo3 0.667 0.333 0.099
Mo4 0.667 0.333 0.409
C1 0.000 0.000 0.500
N1 0.000 0.000 0.000
```

* space-group type: No. 164

=====

# 5
This record from the Open Quantum Materials Database describes crystalline NiMo3CN at its relaxed geometry. The functional is PBE.

```
data_NiMo3CN
_cell_length_a 3.029
_cell_length_b 3.029
_cell_length_c 17.938
_cell_angle_alpha 90.00
_cell_angle_beta 90.00
_cell_angle_gamma 120.00
_space_group_name_H-M_alt 'P 1'
_space_group_IT_number 1
loop_
_space_group_symop_operation_xyz
'x,y,z'
loop_
_atom_site_label
_atom_site_fract_x
_atom_site_fract_y
_atom_site_fract_z
Ni1 0.000 0.000 0.247
Ni2 0.000 0.000 0.753
Mo1 0.000 0.000 0.000
Mo2 0.000 0.000 0.500
Mo3 0.333 0.667 0.136
Mo4 0.333 0.667 0.362
Mo5 0.667 0.333 0.638
Mo6 0.667 0.333 0.864
C1 0.333 0.667 0.574
C2 0.667 0.333 0.426
N1 0.333 0.667 0.927
N2 0.667 0.333 0.073
```

* space-group type: No. 164

=====

# 6
This record from the Open Quantum Materials Database describes crystalline Mo8P2C3N3 at its relaxed geometry. The functional is PBE.

```
data_Mo8P2C3N3
_cell_length_a 3.120
_cell_length_b 3.120
_cell_length_c 21.735
_cell_angle_alpha 90.00
_cell_angle_beta 90.00
_cell_angle_gamma 120.00
_space_group_name_H-M_alt 'P 1'
_space_group_IT_number 1
loop_
_space_group_symop_operation_xyz
'x,y,z'
loop_
_atom_site_label
_atom_site_fract_x
_atom_site_fract_y
_atom_site_fract_z
Mo1 0.000 0.000 0.170
Mo2 0.000 0.000 0.328
Mo3 0.000 0.000 0.672
Mo4 0.000 0.000 0.830
Mo5 0.333 0.667 0.554
Mo6 0.333 0.667 0.952
Mo7 0.667 0.333 0.048
Mo8 0.667 0.333 0.446
P1 0.333 0.667 0.753
P2 0.667 0.333 0.247
C1 0.000 0.000 0.500
C2 0.333 0.667 0.383
C3 0.667 0.333 0.617
N1 0.000 0.000 0.000
N2 0.333 0.667 0.109
N3 0.667 0.333 0.891
```

* space-group type: No. 164

=====

no.,DFT total energy (eV/atom),magnetization (μB per formula unit)
1,-8.95,0.9
2,-8.99,0.0
3,-10.27,0.0
4,-8.90,0.0
5,-9.14,0.0
6,-9.42,0.2